First-principles (PBE) data for a relaxed CdAsCl3 crystal, as listed in the Alexandria database.

Summary:
space-group type = No. 221
electronic total energy = -12.49 eV for the cell shown

Structure (POSCAR):
```
CdAsCl3
1.0
5.0975 0.0000 0.0000
0.0000 5.0975 0.0000
0.0000 0.0000 5.0975
As Cl Cd
1 3 1
direct
0.0000 0.0000 0.0000
0.0000 0.5000 0.0000
0.0000 0.0000 0.5000
0.5000 0.0000 0.0000
0.5000 0.5000 0.5000
```

***

First-principles (PBE) data for a relaxed CdAs2Cl crystal, as listed in the Alexandria database.

Summary:
space-group type = No. 166
electronic total energy = -10.77 eV for the cell shown

Structure (POSCAR):
```
CdAs2Cl
1.0
9.2854 -0.0153 -0.0090
8.7183 3.1951 -0.0090
8.7183 1.5399 2.7996
As Cl Cd
2 1 1
direct
0.0012 0.0012 0.0012
0.4988 0.4988 0.4988
0.7500 0.7500 0.7500
0.2500 0.2500 0.2500
```

***

First-principles (PBE) data for a relaxed CdAs2Cl crystal, as listed in the Alexandria database.

Summary:
space-group type = No. 47
electronic total energy = -11.56 eV for the cell shown

Structure (POSCAR):
```
CdAs2Cl
1.0
-1.6571 1.7107 -1.8571
-3.5579 -3.8023 -0.3277
-2.7771 2.2096 4.5134
As Cl Cd
2 1 1
direct
0.0000 0.0000 0.0406
0.0000 0.0000 0.4594
0.5000 0.5000 0.7500
0.5000 0.5000 0.2500
```

***

First-principles (PBE) data for a relaxed CdAs2Cl crystal, as listed in the Alexandria database.

Summary:
space-group type = No. 225
electronic total energy = -10.64 eV for the cell shown

Structure (POSCAR):
```
CdAs2Cl
1.0
0.2928 -4.7968 -0.9140
1.4097 -3.0808 3.5288
-3.2375 -3.0733 2.0009
As Cl Cd
2 1 1
direct
0.2500 0.2500 0.2500
0.7500 0.7500 0.7500
0.0000 0.0000 0.0000
0.5000 0.5000 0.5000
```